# CeYInPd

A relaxed structure of CeYInPd (PBE, Alexandria via LeMat-Bulk).

Cell lengths 7.4069, 7.4069, 7.4069 Å; angles 90.00, 90.00, 90.00 degrees
Space group F-43m (No. 216)
Inequivalent atoms, fractional coordinates:
Ce: 0.0000 0.0000 0.0000 [4 per cell]
Y: 0.0000 0.0000 0.5000 [4 per cell]
In: 0.2500 0.2500 0.2500 [4 per cell]
Pd: 0.2500 0.2500 0.7500 [4 per cell]

## Properties
ρ: 7.36 g cm⁻³
Magnetization: 2.766 μB per cell
Formation enthalpy at 0 K: -186.0 kJ/mol of formula units
Calculated volume: 25.40 Å³ per atom